Record 1
! Nd12IrPd6 PBE optimized geometry; values from VASP
&SYSTEM
  ibrav = 0, nat = 19, ntyp = 3
/
ATOMIC_SPECIES
Nd 144.24 Nd.upf
Ir 192.22 Ir.upf
Pd 106.42 Pd.upf
CELL_PARAMETERS angstrom
6.4130 3.7025 4.1324
-6.4130 3.7025 4.1324
0.0000 -7.4051 4.1324
ATOMIC_POSITIONS angstrom
Nd -5.6388 -1.4533 6.7983
Nd -1.5609 -5.6100 5.5990
Nd -2.5416 -0.2746 4.8674
Nd -4.0780 4.1567 5.5990
Nd 1.5086 -2.0638 4.8674
Nd -1.0330 -2.3384 7.5299
Nd 1.0330 2.3384 4.8674
Nd -1.5086 2.0638 7.5299
Nd 4.0780 -4.1567 6.7983
Nd 2.5416 0.2746 7.5299
Nd 1.5609 5.6100 6.7983
Nd 5.6388 1.4533 5.5990
Ir 0.0000 0.0000 0.0000
Pd -1.1586 -2.9475 4.3829
Pd -1.9733 2.4771 4.3829
Pd -3.1319 -0.4704 8.0143
Pd 3.1319 0.4704 4.3829
Pd 1.9733 -2.4771 8.0144
Pd 1.1586 2.9475 8.0144
! SG = R-3 (148)
! crystal system = trigonal
! energy of formation from the pure elements = -0.48 eV per atom
! calculated total energy = -5.60 eV/atom



Record 2
! Ir3PtC PBE optimized geometry; values from VASP
&SYSTEM
  ibrav = 0, nat = 5, ntyp = 3
/
ATOMIC_SPECIES
Ir 192.22 Ir.upf
Pt 195.08 Pt.upf
C 12.01 C.upf
CELL_PARAMETERS angstrom
4.8050 0.0000 0.0000
0.0000 4.8050 0.0000
0.0000 0.0000 4.8050
ATOMIC_POSITIONS angstrom
Ir 0.0000 0.0000 2.4025
Ir 0.0000 2.4025 0.0000
Ir 2.4025 0.0000 0.0000
Pt 0.0000 0.0000 0.0000
C 2.4025 2.4025 2.4025
! SG = Pm-3m (221)
! crystal system = cubic
! energy of formation from the pure elements = 3.39 eV per atom
! calculated total energy = -4.98 eV/atom
! ΔE to the lowest computed polymorph = 14.21 eV per formula unit



Record 3
! BeCuSi2 PBE optimized geometry; values from VASP
&SYSTEM
  ibrav = 0, nat = 4, ntyp = 3
/
ATOMIC_SPECIES
Be 9.01 Be.upf
Cu 63.55 Cu.upf
Si 28.09 Si.upf
CELL_PARAMETERS angstrom
-1.7990 1.7990 3.7999
1.7990 -1.7990 3.7999
1.7990 1.7990 -3.7999
ATOMIC_POSITIONS angstrom
Be 0.0000 0.0000 0.0000
Cu 1.7990 0.0000 1.8999
Si 0.0000 0.0000 3.7999
Si 0.0000 1.7990 1.8999
! formation energy from raw total energies = 0.30 eV/atom
! SG = I-4m2 (119)
! crystal system = tetragonal
! calculated total energy = -4.37 eV/atom